1.
The following is a PBE+U calculation of a geometry-optimized Co2Ir2O7 structure, from the Alexandria database.

Lattice parameters (Å, degrees): 7.014 7.014 7.014 60.00 60.00 60.00
Each line ends with the local moment (μB).
Atoms (fractional coordinates):
Co  0.625  0.625  0.625  2.66
Co  0.625  0.625  0.125  2.66
Co  0.625  0.125  0.625  2.66
Co  0.125  0.625  0.625  2.66
Ir  0.625  0.125  0.125  -0.20
Ir  0.125  0.625  0.125  -0.20
Ir  0.125  0.125  0.625  -0.20
Ir  0.125  0.125  0.125  -0.20
O  0.211  0.211  0.789  -0.02
O  0.211  0.789  0.211  -0.02
O  0.461  0.039  0.461  -0.02
O  0.461  0.461  0.039  -0.02
O  0.750  0.750  0.750  -0.06
O  0.789  0.211  0.211  -0.02
O  0.461  0.039  0.039  -0.02
O  0.039  0.461  0.461  -0.02
O  0.039  0.039  0.461  -0.02
O  0.039  0.461  0.039  -0.02
O  0.211  0.789  0.789  -0.02
O  0.500  0.500  0.500  -0.06
O  0.789  0.211  0.789  -0.02
O  0.789  0.789  0.211  -0.02

Values from the calculation:
The calculation puts the density of states at the Fermi level at 14.493 states/eV per cell. Its electronic total energy is -70.80 eV per formula unit. Its space-group type is Fd-3m.


2.
The following is a PBE+U calculation of a geometry-optimized CoIr2O structure, from the Alexandria database.

Lattice parameters (Å, degrees): 6.370 6.370 5.209 52.31 52.31 90.00
Each line ends with the local moment (μB).
Atoms (fractional coordinates):
Ir  0.552  0.125  0.250  0.28
Ir  0.198  0.625  0.250  0.28
Ir  0.375  0.448  0.750  0.29
Ir  0.875  0.802  0.750  0.30
Co  0.000  0.000  0.000  2.39
Co  0.750  0.250  0.500  2.39
O  0.500  0.500  0.000  0.02
O  0.250  0.750  0.500  0.02

Values from the calculation:
The calculation puts the density of states at the Fermi level at 5.203 states/eV per cell. Its electronic total energy is -25.12 eV per formula unit. Its space-group type is I-42d.


3.
The following is a PBE+U calculation of a geometry-optimized CoIr2O6 structure, from the Alexandria database.

Lattice parameters (Å, degrees): 4.295 8.701 8.701 120.00 90.00 90.00
Each line ends with the local moment (μB).
Atoms (fractional coordinates):
Co  0.498  0.333  0.667  2.42
Co  0.000  0.000  0.000  2.33
Co  0.502  0.667  0.333  2.42
Ir  0.000  0.654  0.654  -0.16
Ir  0.500  0.320  0.320  -0.19
Ir  0.000  0.000  0.346  -0.16
Ir  0.500  0.680  0.000  -0.19
Ir  0.500  0.000  0.680  -0.19
Ir  0.000  0.346  0.000  -0.16
O  0.240  0.778  0.883  -0.02
O  0.742  0.557  0.774  -0.01
O  0.251  0.433  0.544  -0.02
O  0.251  0.456  0.889  -0.02
O  0.742  0.217  0.443  -0.01
O  0.240  0.105  0.222  -0.02
O  0.742  0.226  0.783  -0.01
O  0.760  0.895  0.117  -0.02
O  0.251  0.111  0.567  -0.02
O  0.240  0.117  0.895  -0.02
O  0.258  0.783  0.226  -0.01
O  0.749  0.889  0.456  -0.02
O  0.749  0.567  0.111  -0.02
O  0.258  0.774  0.557  -0.01
O  0.760  0.883  0.778  -0.02
O  0.258  0.443  0.217  -0.01
O  0.749  0.544  0.433  -0.02
O  0.760  0.222  0.105  -0.02

Values from the calculation:
The calculation puts the density of states at the Fermi level at 22.671 states/eV per cell. Its electronic total energy is -59.37 eV per formula unit. Its space-group type is P321.


Repeat the third record exactly.
The following is a PBE+U calculation of a geometry-optimized CoIr2O6 structure, from the Alexandria database.

Lattice parameters (Å, degrees): 4.295 8.701 8.701 120.00 90.00 90.00
Each line ends with the local moment (μB).
Atoms (fractional coordinates):
Co  0.498  0.333  0.667  2.42
Co  0.000  0.000  0.000  2.33
Co  0.502  0.667  0.333  2.42
Ir  0.000  0.654  0.654  -0.16
Ir  0.500  0.320  0.320  -0.19
Ir  0.000  0.000  0.346  -0.16
Ir  0.500  0.680  0.000  -0.19
Ir  0.500  0.000  0.680  -0.19
Ir  0.000  0.346  0.000  -0.16
O  0.240  0.778  0.883  -0.02
O  0.742  0.557  0.774  -0.01
O  0.251  0.433  0.544  -0.02
O  0.251  0.456  0.889  -0.02
O  0.742  0.217  0.443  -0.01
O  0.240  0.105  0.222  -0.02
O  0.742  0.226  0.783  -0.01
O  0.760  0.895  0.117  -0.02
O  0.251  0.111  0.567  -0.02
O  0.240  0.117  0.895  -0.02
O  0.258  0.783  0.226  -0.01
O  0.749  0.889  0.456  -0.02
O  0.749  0.567  0.111  -0.02
O  0.258  0.774  0.557  -0.01
O  0.760  0.883  0.778  -0.02
O  0.258  0.443  0.217  -0.01
O  0.749  0.544  0.433  -0.02
O  0.760  0.222  0.105  -0.02

Values from the calculation:
The calculation puts the density of states at the Fermi level at 22.671 states/eV per cell. Its electronic total energy is -59.37 eV per formula unit. Its space-group type is P321.